(1)
A plane-wave DFT calculation with PBE was carried out for crystalline CsCaIn2Ga at its relaxed geometry.

Geometry as POSCAR:
```
CsCaIn2Ga
1.0
6.006 0.000 0.000
0.000 6.867 0.000
0.000 0.000 6.006
Cs In Ca Ga
1 2 1 1
direct
0.000 0.500 0.000
0.500 0.000 0.000
0.000 0.000 0.500
0.000 0.000 0.000
0.500 0.500 0.500
```

Computed properties:
The density of states at the Fermi level is 8.3 states/eV per cell. Its density is 3.2 Mg/m³. The value obtained for the formation enthalpy at 0 K is 603 meV/atom. For the electronic total energy, the calculation gives -1.669 eV per atom.

(2)
A plane-wave DFT calculation with PBE was carried out for crystalline Cs3CaGa2O6 at its relaxed geometry.

Geometry as POSCAR:
```
Cs3CaGa2O6
1.0
6.355 0.000 0.000
-3.178 5.504 0.000
0.000 0.000 7.842
Ga O Ca Cs
2 6 1 3
direct
0.333 0.667 0.308
0.667 0.333 0.692
0.659 0.829 0.307
0.829 0.659 0.693
0.171 0.341 0.307
0.829 0.171 0.693
0.171 0.829 0.307
0.341 0.171 0.693
0.000 0.000 0.500
0.333 0.667 0.743
0.000 0.000 0.000
0.667 0.333 0.257
```

Computed properties:
The density of states at the Fermi level is 12.3 states/eV per cell. Its density is 4.1 Mg/m³. For the electronic total energy, the calculation gives -5.023 eV per atom. The formation energy (no corrections) comes out at -1659.1 meV/atom.

(3)
A plane-wave DFT calculation with PBE was carried out for crystalline CsCa2GaPt at its relaxed geometry.

Geometry as POSCAR:
```
CsCa2GaPt
1.0
5.750 0.000 0.000
0.000 5.750 0.000
0.000 0.000 4.995
Ca Cs Ga Pt
2 1 1 1
direct
0.500 0.000 0.000
0.000 0.500 0.000
0.500 0.500 0.500
0.000 0.000 0.500
0.000 0.000 0.000
```

Computed properties:
The density of states at the Fermi level is 3.1 states/eV per cell. Its density is 4.8 Mg/m³. The value obtained for the formation enthalpy at 0 K is -345 meV/atom. For the electronic total energy, the calculation gives -3.129 eV per atom.

(4)
A plane-wave DFT calculation with PBE was carried out for crystalline CsRbCaGa2 at its relaxed geometry.

Geometry as POSCAR:
```
CsRbCaGa2
1.0
5.918 0.000 0.000
0.000 6.804 0.000
0.000 0.000 5.918
Ga Ca Cs Rb
2 1 1 1
direct
0.500 0.000 0.000
0.000 0.000 0.500
0.000 0.000 0.000
0.000 0.500 0.000
0.500 0.500 0.500
```

Computed properties:
The density of states at the Fermi level is 7.4 states/eV per cell. Its density is 2.8 Mg/m³. The value obtained for the formation enthalpy at 0 K is 364 meV/atom. For the electronic total energy, the calculation gives -1.611 eV per atom.